A plane-wave DFT calculation with PBE was carried out for crystalline TlCr2Si at its relaxed geometry.

a = 3.944 Å, b = 3.944 Å, c = 9.273 Å
α = 77.72°, β = 77.72°, γ = 90.00°
Sites, in units of the cell vectors:
Cr  0.515  0.125  0.250
Cr  0.235  0.625  0.250
Cr  0.375  0.485  0.750
Cr  0.875  0.765  0.750
Tl  0.000  0.000  0.000
Tl  0.750  0.250  0.500
Si  0.500  0.500  0.000
Si  0.250  0.750  0.500

Computed properties:
As for the density of states at the Fermi level: 8.21 states/eV/cell. The calculation puts the density at 8.12 Mg/m³. For the energy relative to the elements, uncorrected, the calculation gives 0.8265 eV/atom. The calculation puts the calculated volume at 17.20 Å³ per atom.